1.
AcY14Sc: relaxed, PBE. Values from VASP.

```
&SYSTEM
  ibrav = 0, nat = 16, ntyp = 3
/
ATOMIC_SPECIES
Ac 227.00 Ac.upf
Y 88.91 Y.upf
Sc 44.96 Sc.upf
CELL_PARAMETERS angstrom
7.1599 0.0000 0.0000
0.0000 7.1599 0.0000
0.0000 0.0000 10.0851
ATOMIC_POSITIONS crystal
Ac 0.0000 0.0000 0.0000
Y 0.0000 0.0000 0.5000
Y 0.0000 0.5000 0.0000
Y 0.0000 0.5000 0.5000
Y 0.2543 0.2543 0.2500
Y 0.2543 0.2543 0.7500
Y 0.2543 0.7457 0.2500
Y 0.2543 0.7457 0.7500
Y 0.5000 0.0000 0.0000
Y 0.5000 0.0000 0.5000
Y 0.5000 0.5000 0.5000
Y 0.7457 0.2543 0.2500
Y 0.7457 0.2543 0.7500
Y 0.7457 0.7457 0.2500
Y 0.7457 0.7457 0.7500
Sc 0.5000 0.5000 0.0000
```

Output
space-group type = P4/mmm, No. 123
magnetization = 0.004 μB/f.u.
ρ = 4.87 g/cm³
energy of formation from the pure elements = 0.04 eV per atom
raw total energy = -100.33 eV/cell


2.
CeDy2Ir: relaxed, PBE. Values from VASP.

```
&SYSTEM
  ibrav = 0, nat = 4, ntyp = 3
/
ATOMIC_SPECIES
Ce 140.12 Ce.upf
Dy 162.50 Dy.upf
Ir 192.22 Ir.upf
CELL_PARAMETERS angstrom
3.4612 0.0000 0.0000
0.0000 3.4612 0.0000
0.0000 0.0000 8.7505
ATOMIC_POSITIONS crystal
Ce 0.0000 0.0000 0.0000
Dy 0.5000 0.5000 0.3120
Dy 0.5000 0.5000 0.6880
Ir 0.0000 0.0000 0.5000
```

Output
space-group type = P4/mmm, No. 123
magnetization = 1.423 μB/f.u.
ρ = 10.41 g/cm³
energy of formation from the pure elements = -0.37 eV per atom
raw total energy = -25.47 eV/cell


3.
PaSb2Rh9: relaxed, PBE. Values from VASP.

```
&SYSTEM
  ibrav = 0, nat = 12, ntyp = 3
/
ATOMIC_SPECIES
Pa 231.04 Pa.upf
Sb 121.76 Sb.upf
Rh 102.91 Rh.upf
CELL_PARAMETERS angstrom
4.0061 0.0000 0.0000
0.0000 4.0061 0.0000
0.0000 0.0000 11.9436
ATOMIC_POSITIONS crystal
Pa 0.0000 0.0000 0.0000
Sb 0.0000 0.0000 0.3384
Sb 0.0000 0.0000 0.6616
Rh 0.0000 0.5000 0.1707
Rh 0.0000 0.5000 0.5000
Rh 0.0000 0.5000 0.8293
Rh 0.5000 0.0000 0.1707
Rh 0.5000 0.0000 0.5000
Rh 0.5000 0.0000 0.8293
Rh 0.5000 0.5000 0.0000
Rh 0.5000 0.5000 0.3349
Rh 0.5000 0.5000 0.6651
```

Output
space-group type = P4/mmm, No. 123
magnetization = 0.000 μB/f.u.
ρ = 12.13 g/cm³
ΔE_f (raw) = -465.9 meV per atom
raw total energy = -89.50 eV/cell


4.
Er6IrPd2: relaxed, PBE. Values from VASP.

```
&SYSTEM
  ibrav = 0, nat = 18, ntyp = 3
/
ATOMIC_SPECIES
Er 167.26 Er.upf
Ir 192.22 Ir.upf
Pd 106.42 Pd.upf
CELL_PARAMETERS angstrom
-4.7192 4.7838 4.7980
4.7192 -4.7838 4.7980
4.7192 4.7838 -4.7980
ATOMIC_POSITIONS crystal
Er 0.0418 0.8321 0.2097
Er 0.2576 0.5727 0.3150
Er 0.2576 0.9426 0.6850
Er 0.2592 0.3273 0.5866
Er 0.2592 0.6727 0.9319
Er 0.3776 0.1679 0.2097
Er 0.6224 0.8321 0.7903
Er 0.7408 0.3273 0.0681
Er 0.7408 0.6727 0.4134
Er 0.7424 0.0574 0.3150
Er 0.7424 0.4273 0.6850
Er 0.9582 0.1679 0.7903
Ir 0.0000 0.5000 0.5000
Ir 0.5000 0.0000 0.5000
Pd 0.0000 0.1558 0.1558
Pd 0.0000 0.8442 0.8442
Pd 0.3643 0.3643 0.0000
Pd 0.6357 0.6357 0.0000
```

Output
space-group type = Immm, No. 71
magnetization = 0.000 μB/f.u.
ρ = 10.80 g/cm³
energy of formation from the pure elements = -0.64 eV per atom
raw total energy = -104.72 eV/cell


5.
ScAl2Ir: relaxed, PBE. Values from VASP.

```
&SYSTEM
  ibrav = 0, nat = 8, ntyp = 3
/
ATOMIC_SPECIES
Sc 44.96 Sc.upf
Al 26.98 Al.upf
Ir 192.22 Ir.upf
CELL_PARAMETERS angstrom
4.3497 0.0000 0.0000
0.0000 4.3497 0.0000
0.0000 0.0000 6.6976
ATOMIC_POSITIONS crystal
Sc 0.0000 0.0000 0.0000
Sc 0.5000 0.5000 0.5000
Al 0.0000 0.0000 0.5000
Al 0.0000 0.5000 0.2500
Al 0.5000 0.0000 0.7500
Al 0.5000 0.5000 0.0000
Ir 0.0000 0.5000 0.7500
Ir 0.5000 0.0000 0.2500
```

Output
space-group type = I-4m2, No. 119
magnetization = 0.000 μB/f.u.
ρ = 7.63 g/cm³
energy of formation from the pure elements = -0.66 eV per atom
raw total energy = -50.65 eV/cell


6.
SrGeAs2Br: relaxed, PBE. Values from VASP.

```
&SYSTEM
  ibrav = 0, nat = 5, ntyp = 4
/
ATOMIC_SPECIES
Sr 87.62 Sr.upf
Ge 72.64 Ge.upf
As 74.92 As.upf
Br 79.90 Br.upf
CELL_PARAMETERS angstrom
4.9465 0.0000 0.0000
0.0000 4.9465 0.0000
0.0000 0.0000 5.7796
ATOMIC_POSITIONS crystal
Sr 0.0000 0.0000 0.0000
Ge 0.5000 0.5000 0.5000
As 0.0000 0.5000 0.5000
As 0.5000 0.0000 0.5000
Br 0.5000 0.5000 0.0000
```

Output
space-group type = P4/mmm, No. 123
magnetization = 0.000 μB/f.u.
ρ = 4.58 g/cm³
ΔE_f (raw) = -318.9 meV per atom
raw total energy = -18.87 eV/cell


7.
TaBi3Br: relaxed, PBE. Values from VASP.

```
&SYSTEM
  ibrav = 0, nat = 5, ntyp = 3
/
ATOMIC_SPECIES
Ta 180.95 Ta.upf
Bi 208.98 Bi.upf
Br 79.90 Br.upf
CELL_PARAMETERS angstrom
5.5378 0.0000 0.0000
0.0000 5.5378 0.0000
0.0000 0.0000 5.5378
ATOMIC_POSITIONS crystal
Ta 0.0000 0.0000 0.0000
Bi 0.0000 0.5000 0.5000
Bi 0.5000 0.0000 0.5000
Bi 0.5000 0.5000 0.0000
Br 0.5000 0.5000 0.5000
```

Output
space-group type = Pm-3m, No. 221
magnetization = 2.004 μB/f.u.
ρ = 8.68 g/cm³
ΔE_f (raw) = 1516.9 meV per atom
raw total energy = -17.58 eV/cell


8.
Mo2RhAu: relaxed, PBE. Values from VASP.

```
&SYSTEM
  ibrav = 0, nat = 4, ntyp = 3
/
ATOMIC_SPECIES
Mo 95.94 Mo.upf
Rh 102.91 Rh.upf
Au 196.97 Au.upf
CELL_PARAMETERS angstrom
3.3009 0.0000 0.0000
0.0000 3.3009 0.0000
0.0000 0.0000 5.8855
ATOMIC_POSITIONS crystal
Mo 0.0000 0.0000 0.0000
Mo 0.5000 0.5000 0.2383
Rh 0.0000 0.0000 0.4673
Au 0.5000 0.5000 0.7303
```

Output
space-group type = P4mm, No. 99
magnetization = 0.000 μB/f.u.
ρ = 12.73 g/cm³
energy of formation from the pure elements = 0.15 eV per atom
raw total energy = -31.69 eV/cell


9.
ZrNi2Hg: relaxed, PBE. Values from VASP.

```
&SYSTEM
  ibrav = 0, nat = 4, ntyp = 3
/
ATOMIC_SPECIES
Zr 91.22 Zr.upf
Ni 58.69 Ni.upf
Hg 200.59 Hg.upf
CELL_PARAMETERS angstrom
3.2575 0.0000 0.0000
0.0000 3.2777 0.0000
0.0000 0.0000 6.1241
ATOMIC_POSITIONS crystal
Zr 0.0000 0.0000 0.0000
Ni 0.5000 0.5000 0.2332
Ni 0.5000 0.5000 0.7668
Hg 0.0000 0.0000 0.5000
```

Output
space-group type = Pmmm, No. 47
magnetization = 0.000 μB/f.u.
ρ = 10.39 g/cm³
energy of formation from the pure elements = -0.18 eV per atom
raw total energy = -21.11 eV/cell


10.
LaTb2Rh: relaxed, PBE. Values from VASP.

```
&SYSTEM
  ibrav = 0, nat = 12, ntyp = 3
/
ATOMIC_SPECIES
La 138.91 La.upf
Tb 158.93 Tb.upf
Rh 102.91 Rh.upf
CELL_PARAMETERS angstrom
3.7396 0.0000 0.0000
-1.8698 3.2386 0.0000
0.0000 0.0000 31.7585
ATOMIC_POSITIONS crystal
La 0.0000 0.0000 0.0000
La 0.3333 0.6667 0.6667
La 0.6667 0.3333 0.3333
Tb 0.0000 0.0000 0.1136
Tb 0.0000 0.0000 0.8864
Tb 0.3333 0.6667 0.5531
Tb 0.3333 0.6667 0.7802
Tb 0.6667 0.3333 0.2198
Tb 0.6667 0.3333 0.4469
Rh 0.0000 0.0000 0.5000
Rh 0.3333 0.6667 0.1667
Rh 0.6667 0.3333 0.8333
```

Output
space-group type = R-3m, No. 166
magnetization = 0.010 μB/f.u.
ρ = 7.25 g/cm³
energy of formation from the pure elements = -0.21 eV per atom
raw total energy = -67.11 eV/cell


11.
CrWS2N: relaxed, PBE. Values from VASP.

```
&SYSTEM
  ibrav = 0, nat = 5, ntyp = 4
/
ATOMIC_SPECIES
Cr 52.00 Cr.upf
W 183.84 W.upf
S 32.06 S.upf
N 14.01 N.upf
CELL_PARAMETERS angstrom
4.6593 0.0000 0.0000
0.0000 4.6593 0.0000
0.0000 0.0000 3.4544
ATOMIC_POSITIONS crystal
Cr 0.0000 0.0000 0.0000
W 0.5000 0.5000 0.5000
S 0.0000 0.5000 0.0000
S 0.5000 0.0000 0.0000
N 0.0000 0.0000 0.5000
```

Output
space-group type = P4/mmm, No. 123
magnetization = 3.631 μB/f.u.
ρ = 6.95 g/cm³
ΔE_f (raw) = 688.2 meV per atom
raw total energy = -35.72 eV/cell


12.
MgPPd4: relaxed, PBE. Values from VASP.

```
&SYSTEM
  ibrav = 0, nat = 12, ntyp = 3
/
ATOMIC_SPECIES
Mg 24.30 Mg.upf
P 30.97 P.upf
Pd 106.42 Pd.upf
CELL_PARAMETERS angstrom
4.1750 -5.6960 0.0000
4.1750 5.6960 0.0000
-3.9483 0.0000 4.1753
ATOMIC_POSITIONS crystal
Mg 0.1186 0.8814 0.7500
Mg 0.8814 0.1186 0.2500
P 0.3697 0.6303 0.2500
P 0.6303 0.3697 0.7500
Pd 0.9996 0.5001 0.2371
Pd 0.0004 0.4999 0.7629
Pd 0.2769 0.2772 0.2762
Pd 0.2772 0.2769 0.7762
Pd 0.4999 0.0004 0.2629
Pd 0.5001 0.9996 0.7371
Pd 0.7228 0.7231 0.2238
Pd 0.7231 0.7228 0.7238
```

Output
space-group type = C2/c, No. 15
magnetization = 0.000 μB/f.u.
ρ = 8.04 g/cm³
energy of formation from the pure elements = -0.42 eV per atom
raw total energy = -60.54 eV/cell